[1]
8
Lattice="7.9864 0.0000 0.0000 0.0000 7.9864 0.0000 3.9932 3.9932 2.9072" Properties=species:S:1:pos:R:3 comment="ScGa2Te PBE-GGA optimized geometry" raw_formation_energy_ev_per_atom=-0.22 pbc="T T T"
Sc 3.9932 3.9932 0.0000
Sc 3.9932 7.9864 1.4536
Te 0.0000 0.0000 0.0000
Te 7.9864 3.9932 1.4536
Ga 5.9646 1.9966 0.7268
Ga 2.0218 5.9898 0.7268
Ga 5.9898 6.0150 2.1804
Ga 9.9830 9.9578 2.1804

[2]
11
Lattice="4.0545 0.0000 0.0000 0.0000 8.6821 1.1074 -2.0272 -1.9065 8.6916" Properties=species:S:1:pos:R:3 comment="Er8Sb2As PBE-GGA optimized geometry" raw_formation_energy_ev_per_atom=-0.61 pbc="T T T"
Er 0.0000 2.4272 7.5884
Er 2.0272 -0.3687 2.7904
Er 2.0272 4.4471 5.7783
Er 0.0000 1.9153 0.4653
Er 0.0000 2.3285 4.0208
Er 0.0000 7.1443 7.0087
Er 2.0272 4.3484 2.2106
Er 2.0272 4.8603 9.3338
Sb 2.0273 0.7680 5.8588
Sb 0.0000 6.0076 3.9402
As 2.0272 0.0000 0.0000